Entry from the Alexandria database: a PBEsol-optimized structure of LaHfNb3 (meta-GGA SCAN).

a = 4.981 Å, b = 4.981 Å, c = 4.981 Å
α = 90.00°, β = 90.00°, γ = 90.00°
Atoms (fractional coordinates):
La (0.500, 0.500, 0.500)
Hf (0.000, 0.000, 0.000)
Nb (0.000, 0.000, 0.500)
Nb (0.500, 0.000, 0.000)
Nb (0.000, 0.500, 0.000)

DOS(E_F) (states/eV per cell): 9.1
Energy relative to the elements (meV per atom): 1103
Spin magnetization (μB/f.u.): 0.0